(1)
TiAg GGA-PBE relaxed; DOS(E_F) = 5.23 states/eV/cell; VASP energy = -5.226 eV/atom; theoretical density = 7438 kg/m³
1.0
2.882 0.000 0.000
0.000 4.658 0.000
0.000 0.000 5.181
Ti Ag
2 2
direct
0.250 0.250 0.083
0.750 0.750 0.917
0.250 0.750 0.409
0.750 0.250 0.591

(2)
TiAg GGA-PBE relaxed; DOS(E_F) = 10.15 states/eV/cell; VASP energy = -5.172 eV/atom; theoretical density = 7152 kg/m³
1.0
2.857 0.000 0.000
0.000 12.925 0.000
0.000 0.000 5.876
Ti Ag
6 6
direct
0.000 0.000 0.000
0.000 0.364 0.249
0.000 0.636 0.249
0.500 0.136 0.749
0.500 0.500 0.500
0.500 0.864 0.749
0.000 0.000 0.469
0.000 0.330 0.741
0.000 0.670 0.741
0.500 0.170 0.241
0.500 0.500 0.969
0.500 0.830 0.241

(3)
TiAg GGA-PBE relaxed; DOS(E_F) = 15.49 states/eV/cell; VASP energy = -4.096 eV/atom; theoretical density = 4946 kg/m³
1.0
5.936 0.000 0.000
0.000 5.936 0.000
0.000 0.000 5.936
Ti Ag
4 4
direct
0.000 0.000 0.000
0.000 0.500 0.500
0.500 0.000 0.500
0.500 0.500 0.000
0.250 0.250 0.750
0.250 0.750 0.250
0.750 0.250 0.250
0.750 0.750 0.750

(4)
Ti2Ag GGA-PBE relaxed; DOS(E_F) = 4.22 states/eV/cell; VASP energy = -6.263 eV/atom; theoretical density = 6507 kg/m³
1.0
2.931 0.000 0.000
0.000 2.931 0.000
0.000 0.000 12.093
Ti Ag
4 2
direct
0.000 0.000 0.173
0.000 0.000 0.827
0.500 0.500 0.327
0.500 0.500 0.673
0.000 0.000 0.500
0.500 0.500 0.000

(5)
Ti3Ag GGA-PBE relaxed; DOS(E_F) = 5.63 states/eV/cell; VASP energy = -6.510 eV/atom; theoretical density = 6019 kg/m³
1.0
2.781 0.000 0.000
0.000 4.823 0.000
0.000 0.000 5.172
Ti Ag
3 1
direct
0.000 0.000 0.000
0.000 0.500 0.293
0.500 0.000 0.460
0.500 0.500 0.789

(6)
TiAg GGA-PBE relaxed; DOS(E_F) = 10.69 states/eV/cell; VASP energy = -4.858 eV/atom; theoretical density = 6697 kg/m³
1.0
5.317 0.000 0.000
0.000 5.317 0.000
0.000 0.000 5.464
Ti Ag
4 4
direct
0.181 0.181 0.000
0.319 0.681 0.500
0.681 0.319 0.500
0.819 0.819 0.000
0.183 0.183 0.500
0.317 0.683 0.000
0.683 0.317 0.000
0.817 0.817 0.500

Formation energy / eV per atom: 0.147; 0.201; 1.277; -0.050; 0.124; 0.515